# 1
# PBE Re2OsPb, optimized geometry
# **ΔE_f**: 3.05 eV per formula unit
# **Space group**: P4/mmm, No. 123
data_Re2OsPb
_symmetry_space_group_name_H-M 'P 1'
_symmetry_Int_Tables_number 1
_cell_length_a 2.920
_cell_length_b 2.920
_cell_length_c 7.935
_cell_angle_alpha 90.00
_cell_angle_beta 90.00
_cell_angle_gamma 90.00
loop_
_symmetry_equiv_pos_as_xyz
'x,y,z'
loop_
_atom_site_label
_atom_site_fract_x
_atom_site_fract_y
_atom_site_fract_z
Os1 0.500 0.500 0.250
Pb1 0.500 0.500 0.750
Re1 0.000 0.000 0.029
Re2 0.000 0.000 0.471

***

# 2
# PBE ReOs4Pb, optimized geometry
# **ΔE_f**: 6.53 eV per formula unit
# **Space group**: F-43m, No. 216
data_ReOs4Pb
_symmetry_space_group_name_H-M 'P 1'
_symmetry_Int_Tables_number 1
_cell_length_a 5.219
_cell_length_b 5.219
_cell_length_c 5.219
_cell_angle_alpha 60.00
_cell_angle_beta 60.00
_cell_angle_gamma 60.00
loop_
_symmetry_equiv_pos_as_xyz
'x,y,z'
loop_
_atom_site_label
_atom_site_fract_x
_atom_site_fract_y
_atom_site_fract_z
Re1 0.000 0.000 0.000
Os1 0.877 0.374 0.374
Os2 0.374 0.374 0.877
Os3 0.374 0.877 0.374
Os4 0.374 0.374 0.374
Pb1 0.750 0.750 0.750

***

# 3
# PBE ReOsPb2, optimized geometry
# **Relative energy among the computed polymorphs**: 0.772 eV/atom
# **ΔE_f**: 4.77 eV per formula unit
# **Space group**: Fm-3m, No. 225
data_ReOsPb2
_symmetry_space_group_name_H-M 'P 1'
_symmetry_Int_Tables_number 1
_cell_length_a 4.752
_cell_length_b 4.752
_cell_length_c 4.752
_cell_angle_alpha 60.00
_cell_angle_beta 60.00
_cell_angle_gamma 60.00
loop_
_symmetry_equiv_pos_as_xyz
'x,y,z'
loop_
_atom_site_label
_atom_site_fract_x
_atom_site_fract_y
_atom_site_fract_z
Pb1 0.250 0.250 0.250
Pb2 0.750 0.750 0.750
Re1 0.000 0.000 0.000
Os1 0.500 0.500 0.500

***

# 4
# PBE Re2OsPb, optimized geometry
# **ΔE_f**: 2.61 eV per formula unit
# **Space group**: P4mm, No. 99
data_Re2OsPb
_symmetry_space_group_name_H-M 'P 1'
_symmetry_Int_Tables_number 1
_cell_length_a 2.962
_cell_length_b 2.962
_cell_length_c 7.780
_cell_angle_alpha 90.00
_cell_angle_beta 90.00
_cell_angle_gamma 90.00
loop_
_symmetry_equiv_pos_as_xyz
'x,y,z'
loop_
_atom_site_label
_atom_site_fract_x
_atom_site_fract_y
_atom_site_fract_z
Os1 0.000 0.000 0.469
Pb1 0.500 0.500 0.747
Re1 0.000 0.000 0.033
Re2 0.500 0.500 0.251

***

# 5
# PBE ReOs2Pb, optimized geometry
# **ΔE_f**: 2.44 eV per formula unit
# **Space group**: P4/mmm, No. 123
data_ReOs2Pb
_symmetry_space_group_name_H-M 'P 1'
_symmetry_Int_Tables_number 1
_cell_length_a 2.946
_cell_length_b 2.946
_cell_length_c 7.756
_cell_angle_alpha 90.00
_cell_angle_beta 90.00
_cell_angle_gamma 90.00
loop_
_symmetry_equiv_pos_as_xyz
'x,y,z'
loop_
_atom_site_label
_atom_site_fract_x
_atom_site_fract_y
_atom_site_fract_z
Os1 0.000 0.000 0.970
Os2 0.000 0.000 0.530
Pb1 0.500 0.500 0.250
Re1 0.500 0.500 0.750

***

# 6
# PBE Re2OsPb, optimized geometry
# **ΔE_f**: 3.03 eV per formula unit
# **Space group**: P2/m, No. 10
data_Re2OsPb
_symmetry_space_group_name_H-M 'P 1'
_symmetry_Int_Tables_number 1
_cell_length_a 3.844
_cell_length_b 2.837
_cell_length_c 6.955
_cell_angle_alpha 74.73
_cell_angle_beta 90.00
_cell_angle_gamma 90.00
loop_
_symmetry_equiv_pos_as_xyz
'x,y,z'
loop_
_atom_site_label
_atom_site_fract_x
_atom_site_fract_y
_atom_site_fract_z
Os1 0.500 0.250 0.250
Pb1 0.500 0.750 0.750
Re1 0.000 0.872 0.063
Re2 0.000 0.628 0.437

***

# 7
# PBE ReOs2Pb, optimized geometry
# **ΔE_f**: 3.35 eV per formula unit
# **Space group**: C2/m, No. 12
data_ReOs2Pb
_symmetry_space_group_name_H-M 'P 1'
_symmetry_Int_Tables_number 1
_cell_length_a 4.837
_cell_length_b 4.837
_cell_length_c 5.088
_cell_angle_alpha 81.56
_cell_angle_beta 81.56
_cell_angle_gamma 35.17
loop_
_symmetry_equiv_pos_as_xyz
'x,y,z'
loop_
_atom_site_label
_atom_site_fract_x
_atom_site_fract_y
_atom_site_fract_z
Os1 0.014 0.014 0.960
Os2 0.486 0.486 0.540
Pb1 0.250 0.250 0.250
Re1 0.750 0.750 0.750

***

# 8
# PBE Re2OsPb, optimized geometry
# **ΔE_f**: 2.82 eV per formula unit
# **Space group**: R-3m, No. 166
data_Re2OsPb
_symmetry_space_group_name_H-M 'P 1'
_symmetry_Int_Tables_number 1
_cell_length_a 9.575
_cell_length_b 9.575
_cell_length_c 9.575
_cell_angle_alpha 17.43
_cell_angle_beta 17.43
_cell_angle_gamma 17.43
loop_
_symmetry_equiv_pos_as_xyz
'x,y,z'
loop_
_atom_site_label
_atom_site_fract_x
_atom_site_fract_y
_atom_site_fract_z
Os1 0.250 0.250 0.250
Pb1 0.750 0.750 0.750
Re1 0.991 0.991 0.991
Re2 0.509 0.509 0.509

***

# 9
# PBE ReOs2Pb, optimized geometry
# **ΔE_f**: 3.13 eV per formula unit
# **Space group**: Pm, No. 6
data_ReOs2Pb
_symmetry_space_group_name_H-M 'P 1'
_symmetry_Int_Tables_number 1
_cell_length_a 3.728
_cell_length_b 2.824
_cell_length_c 7.081
_cell_angle_alpha 75.98
_cell_angle_beta 90.00
_cell_angle_gamma 90.00
loop_
_symmetry_equiv_pos_as_xyz
'x,y,z'
loop_
_atom_site_label
_atom_site_fract_x
_atom_site_fract_y
_atom_site_fract_z
Os1 0.000 0.991 0.999
Os2 0.500 0.375 0.195
Pb1 0.000 0.534 0.491
Re1 0.500 0.600 0.815

***

# 10
# PBE ReOs3Pb, optimized geometry
# **Relative energy among the computed polymorphs**: 1.778 eV/atom
# **ΔE_f**: 18.80 eV per formula unit
# **Space group**: Pm-3m, No. 221
data_ReOs3Pb
_symmetry_space_group_name_H-M 'P 1'
_symmetry_Int_Tables_number 1
_cell_length_a 4.804
_cell_length_b 4.804
_cell_length_c 4.804
_cell_angle_alpha 90.00
_cell_angle_beta 90.00
_cell_angle_gamma 90.00
loop_
_symmetry_equiv_pos_as_xyz
'x,y,z'
loop_
_atom_site_label
_atom_site_fract_x
_atom_site_fract_y
_atom_site_fract_z
Pb1 0.000 0.000 0.000
Re1 0.500 0.500 0.500
Os1 0.000 0.500 0.000
Os2 0.000 0.000 0.500
Os3 0.500 0.000 0.000

***

# 11
# PBE ReOs2Pb, optimized geometry
# **ΔE_f**: 3.26 eV per formula unit
# **Space group**: Cm, No. 8
data_ReOs2Pb
_symmetry_space_group_name_H-M 'P 1'
_symmetry_Int_Tables_number 1
_cell_length_a 4.837
_cell_length_b 4.837
_cell_length_c 5.152
_cell_angle_alpha 79.61
_cell_angle_beta 79.61
_cell_angle_gamma 35.39
loop_
_symmetry_equiv_pos_as_xyz
'x,y,z'
loop_
_atom_site_label
_atom_site_fract_x
_atom_site_fract_y
_atom_site_fract_z
Os1 0.999 0.999 0.976
Os2 0.264 0.264 0.221
Pb1 0.500 0.500 0.490
Re1 0.736 0.736 0.814

***

# 12
# PBE ReOs2Pb, optimized geometry
# **ΔE_f**: 3.21 eV per formula unit
# **Space group**: Pmm2, No. 25
data_ReOs2Pb
_symmetry_space_group_name_H-M 'P 1'
_symmetry_Int_Tables_number 1
_cell_length_a 2.827
_cell_length_b 3.667
_cell_length_c 6.878
_cell_angle_alpha 90.00
_cell_angle_beta 90.00
_cell_angle_gamma 90.00
loop_
_symmetry_equiv_pos_as_xyz
'x,y,z'
loop_
_atom_site_label
_atom_site_fract_x
_atom_site_fract_y
_atom_site_fract_z
Os1 0.000 0.000 0.000
Os2 0.500 0.500 0.197
Pb1 0.000 0.000 0.495
Re1 0.500 0.500 0.808

***

# 13
# PBE ReOsPb2, optimized geometry
# **Relative energy among the computed polymorphs**: 0.861 eV/atom
# **ΔE_f**: 5.12 eV per formula unit
# **Space group**: F-43m, No. 216
data_ReOsPb2
_symmetry_space_group_name_H-M 'P 1'
_symmetry_Int_Tables_number 1
_cell_length_a 4.823
_cell_length_b 4.823
_cell_length_c 4.823
_cell_angle_alpha 60.00
_cell_angle_beta 60.00
_cell_angle_gamma 60.00
loop_
_symmetry_equiv_pos_as_xyz
'x,y,z'
loop_
_atom_site_label
_atom_site_fract_x
_atom_site_fract_y
_atom_site_fract_z
Os1 0.500 0.500 0.500
Pb1 0.000 0.000 0.000
Pb2 0.250 0.250 0.250
Re1 0.750 0.750 0.750

***

# 14
# PBE Re4OsPb, optimized geometry
# **ΔE_f**: 5.78 eV per formula unit
# **Space group**: F-43m, No. 216
data_Re4OsPb
_symmetry_space_group_name_H-M 'P 1'
_symmetry_Int_Tables_number 1
_cell_length_a 5.245
_cell_length_b 5.245
_cell_length_c 5.245
_cell_angle_alpha 60.00
_cell_angle_beta 60.00
_cell_angle_gamma 60.00
loop_
_symmetry_equiv_pos_as_xyz
'x,y,z'
loop_
_atom_site_label
_atom_site_fract_x
_atom_site_fract_y
_atom_site_fract_z
Re1 0.873 0.376 0.376
Re2 0.376 0.376 0.873
Re3 0.376 0.873 0.376
Re4 0.376 0.376 0.376
Os1 0.750 0.750 0.750
Pb1 0.000 0.000 0.000

***

# 15
# PBE ReOsPb2, optimized geometry
# **Relative energy among the computed polymorphs**: 1.202 eV/atom
# **ΔE_f**: 6.49 eV per formula unit
# **Space group**: I-42d, No. 122
data_ReOsPb2
_symmetry_space_group_name_H-M 'P 1'
_symmetry_Int_Tables_number 1
_cell_length_a 7.825
_cell_length_b 7.825
_cell_length_c 6.207
_cell_angle_alpha 50.92
_cell_angle_beta 50.92
_cell_angle_gamma 90.00
loop_
_symmetry_equiv_pos_as_xyz
'x,y,z'
loop_
_atom_site_label
_atom_site_fract_x
_atom_site_fract_y
_atom_site_fract_z
Pb1 0.637 0.125 0.250
Pb2 0.113 0.625 0.250
Pb3 0.375 0.363 0.750
Pb4 0.875 0.887 0.750
Re1 0.500 0.500 0.000
Re2 0.250 0.750 0.500
Os1 0.000 0.000 0.000
Os2 0.750 0.250 0.500

***

# 16
# PBE ReOs2Pb, optimized geometry
# **ΔE_f**: 3.11 eV per formula unit
# **Space group**: P4mm, No. 99
data_ReOs2Pb
_symmetry_space_group_name_H-M 'P 1'
_symmetry_Int_Tables_number 1
_cell_length_a 2.938
_cell_length_b 2.938
_cell_length_c 7.766
_cell_angle_alpha 90.00
_cell_angle_beta 90.00
_cell_angle_gamma 90.00
loop_
_symmetry_equiv_pos_as_xyz
'x,y,z'
loop_
_atom_site_label
_atom_site_fract_x
_atom_site_fract_y
_atom_site_fract_z
Os1 0.000 0.000 0.997
Os2 0.500 0.500 0.226
Pb1 0.000 0.000 0.496
Re1 0.500 0.500 0.781

***

# 17
# PBE ReOs2Pb, optimized geometry
# **ΔE_f**: 2.96 eV per formula unit
# **Space group**: Pmmm, No. 47
data_ReOs2Pb
_symmetry_space_group_name_H-M 'P 1'
_symmetry_Int_Tables_number 1
_cell_length_a 2.844
_cell_length_b 3.650
_cell_length_c 6.892
_cell_angle_alpha 90.00
_cell_angle_beta 90.00
_cell_angle_gamma 90.00
loop_
_symmetry_equiv_pos_as_xyz
'x,y,z'
loop_
_atom_site_label
_atom_site_fract_x
_atom_site_fract_y
_atom_site_fract_z
Os1 0.000 0.000 0.945
Os2 0.000 0.000 0.555
Pb1 0.500 0.500 0.250
Re1 0.500 0.500 0.750

***

# 18
# PBE ReOs2Pb, optimized geometry
# **ΔE_f**: 2.89 eV per formula unit
# **Space group**: P2/m, No. 10
data_ReOs2Pb
_symmetry_space_group_name_H-M 'P 1'
_symmetry_Int_Tables_number 1
_cell_length_a 3.602
_cell_length_b 2.845
_cell_length_c 7.283
_cell_angle_alpha 77.40
_cell_angle_beta 90.00
_cell_angle_gamma 90.00
loop_
_symmetry_equiv_pos_as_xyz
'x,y,z'
loop_
_atom_site_label
_atom_site_fract_x
_atom_site_fract_y
_atom_site_fract_z
Os1 0.000 0.151 0.940
Os2 0.000 0.349 0.560
Pb1 0.500 0.250 0.250
Re1 0.500 0.750 0.750

***

# 19
# PBE ReOsPb2, optimized geometry
# **Relative energy among the computed polymorphs**: 0.814 eV/atom
# **ΔE_f**: 4.94 eV per formula unit
# **Space group**: C2/m, No. 12
data_ReOsPb2
_symmetry_space_group_name_H-M 'P 1'
_symmetry_Int_Tables_number 1
_cell_length_a 4.794
_cell_length_b 4.794
_cell_length_c 5.622
_cell_angle_alpha 78.10
_cell_angle_beta 78.10
_cell_angle_gamma 38.09
loop_
_symmetry_equiv_pos_as_xyz
'x,y,z'
loop_
_atom_site_label
_atom_site_fract_x
_atom_site_fract_y
_atom_site_fract_z
Os1 0.750 0.750 0.750
Pb1 0.002 0.002 0.998
Pb2 0.498 0.498 0.502
Re1 0.250 0.250 0.250

***

# 20
# PBE Re2OsPb, optimized geometry
# **ΔE_f**: 4.09 eV per formula unit
# **Space group**: Cmmm, No. 65
data_Re2OsPb
_symmetry_space_group_name_H-M 'P 1'
_symmetry_Int_Tables_number 1
_cell_length_a 6.116
_cell_length_b 5.032
_cell_length_c 2.941
_cell_angle_alpha 90.03
_cell_angle_beta 61.20
_cell_angle_gamma 117.83
loop_
_symmetry_equiv_pos_as_xyz
'x,y,z'
loop_
_atom_site_label
_atom_site_fract_x
_atom_site_fract_y
_atom_site_fract_z
Os1 0.000 0.500 0.500
Pb1 0.500 0.500 0.000
Re1 0.000 0.000 0.000
Re2 0.500 0.000 0.500

***

Number 1: density of states at the Fermi level 3.29 states/eV/f.u., energy -9.20 eV/atom. Number 2: density of states at the Fermi level 7.32 states/eV/f.u., energy -9.09 eV/atom. Number 3: density of states at the Fermi level 4.20 states/eV/f.u., energy -6.58 eV/atom. Number 4: density of states at the Fermi level 4.43 states/eV/f.u., energy -9.31 eV/atom. Number 5: density of states at the Fermi level 2.03 states/eV/f.u., energy -9.04 eV/atom. Number 6: density of states at the Fermi level 4.07 states/eV/f.u., energy -9.20 eV/atom. Number 7: density of states at the Fermi level 4.99 states/eV/f.u., energy -8.82 eV/atom. Number 8: density of states at the Fermi level 2.18 states/eV/f.u., energy -9.25 eV/atom. Number 9: density of states at the Fermi level 3.85 states/eV/f.u., energy -8.87 eV/atom. Number 10: density of states at the Fermi level 16.54 states/eV/f.u., energy -6.21 eV/atom. Number 11: density of states at the Fermi level 4.40 states/eV/f.u., energy -8.84 eV/atom. Number 12: density of states at the Fermi level 4.53 states/eV/f.u., energy -8.85 eV/atom. Number 13: density of states at the Fermi level 3.97 states/eV/f.u., energy -6.49 eV/atom. Number 14: density of states at the Fermi level 9.13 states/eV/f.u., energy -9.83 eV/atom. Number 15: density of states at the Fermi level 5.12 states/eV/f.u., energy -6.15 eV/atom. Number 16: density of states at the Fermi level 4.11 states/eV/f.u., energy -8.88 eV/atom. Number 17: density of states at the Fermi level 3.38 states/eV/f.u., energy -8.91 eV/atom. Number 18: density of states at the Fermi level 3.79 states/eV/f.u., energy -8.93 eV/atom. Number 19: density of states at the Fermi level 5.01 states/eV/f.u., energy -6.54 eV/atom. Number 20: density of states at the Fermi level 3.86 states/eV/f.u., energy -8.94 eV/atom.